The following is a DFT calculation (GGA-PBE) of a relaxed structure of ZnReAs2Se.

Computed properties:
- E_tot (eV per atom) = -4.70
- total magnetic moment (μB per cell) = 0.3
- uncorrected formation energy (eV/atom) = 0.60
- energy above the lowest structure with this stoichiometry (meV per atom) = 0.0

POSCAR file:
```
ZnReAs2Se
1.0
4.719 0.000 0.000
0.000 4.719 0.000
0.000 0.000 5.406
Zn Re As Se
1 1 2 1
Direct
0.000 0.000 0.000
0.500 0.500 0.500
0.000 0.500 0.500
0.500 0.000 0.500
0.500 0.500 0.000
```